Entry 1:
AlMo2 at its PBEsol-relaxed geometry. Source: Alexandria, functional SCAN.

Calculated values
Formation energy (eV per atom): -0.2289
Crystal system: trigonal

abc: 4.4000 4.4000 2.6900
angles: 90.00 90.00 120.00
Space group P-3m1 (No. 164)
Asymmetric unit:
Al  0.0000  0.0000  0.0000 x1
Mo  0.3333  0.6667  0.6229 x2

Entry 2:
AlMo2 at its PBEsol-relaxed geometry. Source: Alexandria, functional SCAN.

Calculated values
Formation energy (eV per atom): -0.1366
Crystal system: monoclinic

abc: 9.614 3.238 6.129
angles: 90.00 108.94 90.00
Space group C2/m (No. 12)
Asymmetric unit:
Al  0.167  0.000  0.327 x4
Mo  0.000  0.500  0.000 x2
Mo  0.000  0.500  0.500 x2
Mo  0.160  0.000  0.833 x4

Entry 3:
Al3Mo2 at its PBEsol-relaxed geometry. Source: Alexandria, functional SCAN.

Calculated values
Formation energy (eV per atom): -0.1555
Crystal system: orthorhombic

abc: 8.975 12.643 5.219
angles: 90.00 90.00 90.00
Space group Fdd2 (No. 43)
Asymmetric unit:
Al  0.000  0.000  0.000 x8
Al  0.062  0.390  0.077 x16
Mo  0.059  0.306  0.594 x16

Entry 4:
Al12Mo at its PBEsol-relaxed geometry. Source: Alexandria, functional SCAN.

Calculated values
Formation energy (eV per atom): -0.1226
Crystal system: cubic

abc: 7.531 7.531 7.531
angles: 90.00 90.00 90.00
Space group Im-3 (No. 204)
Asymmetric unit:
Al  0.000  0.185  0.309 x24
Mo  0.000  0.000  0.000 x2

Entry 5:
Al3Mo4 at its PBEsol-relaxed geometry. Source: Alexandria, functional SCAN.

Calculated values
Formation energy (eV per atom): -0.2548
Crystal system: tetragonal

abc: 3.211 3.211 20.453
angles: 90.00 90.00 90.00
Space group I4/mmm (No. 139)
Asymmetric unit:
Al  0.000  0.000  0.000 x2
Al  0.000  0.000  0.287 x4
Mo  0.000  0.000  0.140 x4
Mo  0.000  0.000  0.426 x4

Entry 6:
AlMo2 at its PBEsol-relaxed geometry. Source: Alexandria, functional SCAN.

Calculated values
Formation energy (eV per atom): 0.1153
Crystal system: monoclinic

abc: 10.595 2.622 6.781
angles: 90.00 104.11 90.00
Space group C2/m (No. 12)
Asymmetric unit:
Al  0.134  0.000  0.020 x4
Mo  0.035  0.500  0.312 x4
Mo  0.200  0.000  0.659 x4

Entry 7:
Al2Mo3 at its PBEsol-relaxed geometry. Source: Alexandria, functional SCAN.

Calculated values
Formation energy (eV per atom): 0.5257
Crystal system: trigonal

abc: 4.2310 4.2310 5.2339
angles: 90.00 90.00 120.00
Space group P-3m1 (No. 164)
Asymmetric unit:
Al  0.3333  0.6667  0.3621 x2
Mo  0.0000  0.0000  0.5000 x1
Mo  0.3333  0.6667  0.8746 x2

Entry 8:
Al3Mo at its PBEsol-relaxed geometry. Source: Alexandria, functional SCAN.

Calculated values
Formation energy (eV per atom): -0.2913
Crystal system: orthorhombic

abc: 5.330 13.497 4.963
angles: 90.00 90.00 90.00
Space group Pmmn (No. 59, origin choice 2)
Asymmetric unit:
Al  0.001  0.250  0.053 x4
Al  0.002  0.085  0.357 x8
Al  0.250  0.250  0.575 x2
Al  0.250  0.586  0.152 x4
Mo  0.250  0.075  0.867 x4
Mo  0.250  0.750  0.459 x2

Entry 9:
AlMo at its PBEsol-relaxed geometry. Source: Alexandria, functional SCAN.

Calculated values
Formation energy (eV per atom): 0.0073
Crystal system: orthorhombic

abc: 2.704 4.659 4.845
angles: 90.00 90.00 90.00
Space group Pmmn (No. 59, origin choice 2)
Asymmetric unit:
Al  0.250  0.250  0.090 x2
Mo  0.250  0.750  0.401 x2

Entry 10:
Al3Mo at its PBEsol-relaxed geometry. Source: Alexandria, functional SCAN.

Calculated values
Formation energy (eV per atom): -0.2952
Crystal system: tetragonal

abc: 3.775 3.775 8.326
angles: 90.00 90.00 90.00
Space group I4/mmm (No. 139)
Asymmetric unit:
Al  0.000  0.000  0.000 x2
Al  0.000  0.500  0.250 x4
Mo  0.000  0.000  0.500 x2

Entry 11:
AlMo5 at its PBEsol-relaxed geometry. Source: Alexandria, functional SCAN.

Calculated values
Formation energy (eV per atom): -0.0978
Crystal system: monoclinic

abc: 9.800 3.125 6.268
angles: 90.00 108.85 90.00
Space group C2/m (No. 12)
Asymmetric unit:
Al  0.000  0.000  0.000 x2
Mo  0.000  0.000  0.500 x2
Mo  0.167  0.500  0.339 x4
Mo  0.175  0.500  0.833 x4

Entry 12:
AlMo2 at its PBEsol-relaxed geometry. Source: Alexandria, functional SCAN.

Calculated values
Formation energy (eV per atom): -0.2098
Crystal system: tetragonal

abc: 3.206 3.206 8.857
angles: 90.00 90.00 90.00
Space group I4/mmm (No. 139)
Asymmetric unit:
Al  0.000  0.000  0.000 x2
Mo  0.000  0.000  0.323 x4

Entry 13:
Al3Mo at its PBEsol-relaxed geometry. Source: Alexandria, functional SCAN.

Calculated values
Formation energy (eV per atom): -0.3604
Crystal system: monoclinic

abc: 16.345 3.578 8.338
angles: 90.00 102.05 90.00
Space group C2/m (No. 12)
Asymmetric unit:
Al  0.060  0.000  0.417 x4
Al  0.066  0.000  0.920 x4
Al  0.066  0.500  0.179 x4
Al  0.188  0.000  0.721 x4
Al  0.188  0.500  0.470 x4
Al  0.189  0.500  0.980 x4
Mo  0.073  0.500  0.679 x4
Mo  0.195  0.000  0.228 x4

Entry 14:
Al3Mo at its PBEsol-relaxed geometry. Source: Alexandria, functional SCAN.

Calculated values
Formation energy (eV per atom): -0.0624
Crystal system: tetragonal

abc: 2.743 2.743 8.246
angles: 90.00 90.00 90.00
Space group P4/mmm (No. 123)
Asymmetric unit:
Al  0.000  0.000  0.000 x1
Al  0.500  0.500  0.258 x2
Mo  0.000  0.000  0.500 x1

Entry 15:
AlMoN2 at its PBEsol-relaxed geometry. Source: Alexandria, functional SCAN.

Calculated values
Energy relative to the elements, uncorrected (eV/atom): -0.348
Crystal system: trigonal

abc: 2.9845 2.9845 17.3173
angles: 90.00 90.00 120.00
Space group R-3m (No. 166, hexagonal axes)
Asymmetric unit:
Al  0.0000  0.0000  0.0000 x3
Mo  0.0000  0.0000  0.5000 x3
N  0.0000  0.0000  0.3918 x6

Entry 16:
AlMo3N at its PBEsol-relaxed geometry. Source: Alexandria, functional SCAN.

Calculated values
Energy relative to the elements, uncorrected (eV/atom): -0.234
Crystal system: cubic

abc: 4.069 4.069 4.069
angles: 90.00 90.00 90.00
Space group Pm-3m (No. 221)
Asymmetric unit:
Al  0.000  0.000  0.000 x1
Mo  0.000  0.500  0.500 x3
N  0.500  0.500  0.500 x1

Entry 17:
ZrAlMoN2 at its PBEsol-relaxed geometry. Source: Alexandria, functional SCAN.

Calculated values
Energy relative to the elements, uncorrected (eV/atom): 0.401
Crystal system: tetragonal

abc: 3.916 3.916 4.879
angles: 90.00 90.00 90.00
Space group P4/mmm (No. 123)
Asymmetric unit:
Zr  0.000  0.000  0.000 x1
Al  0.500  0.500  0.000 x1
Mo  0.500  0.500  0.500 x1
N  0.000  0.500  0.500 x2

Entry 18:
Nb3Al2Mo3 at its PBEsol-relaxed geometry. Source: Alexandria, functional SCAN.

Calculated values
Formation energy (eV per atom): -0.2503
Crystal system: trigonal

abc: 7.1318 7.1318 8.7003
angles: 90.00 90.00 120.00
Space group R32 (No. 155, hexagonal axes)
Asymmetric unit:
Nb  0.0000  0.7473  0.0000 x9
Al  0.0000  0.0000  0.2524 x6
Mo  0.0000  0.2498  0.5000 x9

Entry 19:
AlNi2Mo at its PBEsol-relaxed geometry. Source: Alexandria, functional SCAN.

Calculated values
Formation energy (eV per atom): -0.3459
Crystal system: tetragonal

abc: 2.665 2.665 6.838
angles: 90.00 90.00 90.00
Space group P4/mmm (No. 123)
Asymmetric unit:
Al  0.000  0.000  0.000 x1
Ni  0.500  0.500  0.231 x2
Mo  0.000  0.000  0.500 x1

Entry 20:
AlNi2Mo at its PBEsol-relaxed geometry. Source: Alexandria, functional SCAN.

Calculated values
Formation energy (eV per atom): -0.0428
Crystal system: orthorhombic

abc: 2.748 4.192 4.372
angles: 90.00 90.00 90.00
Space group Pmmm (No. 47)
Asymmetric unit:
Al  0.000  0.000  0.000 x1
Ni  0.000  0.500  0.500 x1
Ni  0.500  0.500  0.000 x1
Mo  0.500  0.000  0.500 x1

Entry 21:
AlNi6Mo at its PBEsol-relaxed geometry. Source: Alexandria, functional SCAN.

Calculated values
Formation energy (eV per atom): -0.2241
Crystal system: orthorhombic

abc: 7.096 10.039 10.037
angles: 90.00 90.00 90.00
Space group Cmmm (No. 65)
Asymmetric unit:
Al  0.000  0.000  0.247 x4
Al  0.000  0.252  0.000 x4
Ni  0.000  0.000  0.000 x2
Ni  0.000  0.000  0.500 x2
Ni  0.000  0.251  0.251 x8
Ni  0.000  0.500  0.000 x2
Ni  0.000  0.500  0.500 x2
Ni  0.249  0.375  0.375 x16
Ni  0.250  0.124  0.125 x16
Mo  0.000  0.253  0.500 x4
Mo  0.000  0.500  0.244 x4

Entry 22:
AlNi2Mo at its PBEsol-relaxed geometry. Source: Alexandria, functional SCAN.

Calculated values
Formation energy (eV per atom): -0.1083
Crystal system: monoclinic

abc: 8.311 2.623 4.685
angles: 90.00 98.60 90.00
Space group C2/m (No. 12)
Asymmetric unit:
Al  0.000  0.000  0.000 x2
Ni  0.245  0.500  0.254 x4
Mo  0.000  0.500  0.500 x2

Entry 23:
AlNi2Mo at its PBEsol-relaxed geometry. Source: Alexandria, functional SCAN.

Calculated values
Formation energy (eV per atom): -0.1922
Crystal system: monoclinic

abc: 8.520 2.626 4.537
angles: 90.00 101.04 90.00
Space group Cm (No. 8)
Asymmetric unit:
Al  0.000  0.000  0.000 x2
Ni  0.244  0.500  0.181 x2
Ni  0.486  0.000  0.469 x2
Mo  0.236  0.000  0.665 x2

Entry 24:
Al2NiMoRh at its PBEsol-relaxed geometry. Source: Alexandria, functional SCAN.

Calculated values
Formation energy (eV per atom): 0.5287
Crystal system: tetragonal

abc: 4.235 4.235 4.477
angles: 90.00 90.00 90.00
Space group P4/mmm (No. 123)
Asymmetric unit:
Al  0.000  0.500  0.000 x2
Ni  0.000  0.000  0.000 x1
Mo  0.500  0.500  0.500 x1
Rh  0.000  0.000  0.500 x1

Entry 25:
AlMo2O at its PBEsol-relaxed geometry. Source: Alexandria, functional SCAN.

Calculated values
Energy relative to the elements, uncorrected (eV/atom): 0.511
Crystal system: cubic

abc: 5.949 5.949 5.949
angles: 90.00 90.00 90.00
Space group Fm-3m (No. 225)
Asymmetric unit:
Al  0.000  0.000  0.000 x4
Mo  0.250  0.250  0.250 x8
O  0.000  0.000  0.500 x4

| no. | DOS(E_F) (states/eV per atom) |
| --- | --- |
| 1 | 0.47 |
| 2 | 0.64 |
| 3 | 0.60 |
| 4 | 0.30 |
| 5 | 0.64 |
| 6 | 0.86 |
| 7 | 1.16 |
| 8 | 0.48 |
| 9 | 0.79 |
| 10 | 0.59 |
| 11 | 0.57 |
| 12 | 0.81 |
| 13 | 0.05 |
| 14 | 0.35 |
| 15 | 0.42 |
| 16 | 0.75 |
| 17 | 0.52 |
| 18 | 0.99 |
| 19 | 0.91 |
| 20 | 0.73 |
| 21 | 0.75 |
| 22 | 0.70 |
| 23 | 0.80 |
| 24 | 0.74 |
| 25 | 1.10 |